First-principles (GGA-PBE) data for a relaxed Re3P crystal, as listed in the Alexandria database.

Values from the calculation:
excess energy over the best structure of this formula in the dataset	1.65	eV per formula unit
space-group type	Cmcm, No. 63

Cell lengths 5.372, 5.372, 4.206 Å; angles 90.00, 90.00, 101.25 degrees
Atoms (fractional coordinates):
Re  0.128  0.308  0.750
Re  0.209  0.791  0.750
Re  0.308  0.128  0.250
Re  0.692  0.872  0.750
Re  0.791  0.209  0.250
Re  0.872  0.692  0.250
P  0.375  0.625  0.250
P  0.625  0.375  0.750

First-principles (GGA-PBE) data for a relaxed AlTl2Ir crystal, as listed in the Alexandria database.

Values from the calculation:
excess energy over the best structure of this formula in the dataset	0.04	eV per formula unit
space-group type	P4mm, No. 99

Cell lengths 3.152, 3.152, 8.943 Å; angles 90.00, 90.00, 90.00 degrees
Atoms (fractional coordinates):
Al  0.000  0.000  0.000
Tl  0.000  0.000  0.378
Tl  0.500  0.500  0.722
Ir  0.500  0.500  0.129

First-principles (GGA-PBE) data for a relaxed NbRuRh2 crystal, as listed in the Alexandria database.

Values from the calculation:
space-group type	I4/mmm, No. 139

Cell lengths 4.802, 4.802, 4.802 Å; angles 132.12, 132.12, 70.04 degrees
Atoms (fractional coordinates):
Nb  0.000  0.000  0.000
Ru  0.500  0.500  0.000
Rh  0.250  0.750  0.500
Rh  0.750  0.250  0.500

| no. | formation enthalpy at 0 K (meV per atom) |
| --- | --- |
| 1 | 292.1 |
| 2 | -56.5 |
| 3 | -332.5 |